(1)
Entry from Alexandria via LeMat-Bulk: an optimized crystal structure of Li2Sm5Pb5 (GGA-PBE).

The formation energy is -0.377 eV/atom. Its magnetization is 0.0 μB per formula unit. Its crystal system is monoclinic. The calculation puts the calculated volume at 343 Å³/f.u.

The space group is C2/m (No. 12) and the conventional cell measures 12.039, 4.839 and 12.909 Å, with angles of 90.00, 114.32 and 90.00 degrees. The distinct sites, in fractional coordinates, are Li at (0.241, 0.000, 0.291), Sm at (0.000, 0.500, 0.000), Sm at (0.101, 0.000, 0.784), Sm at (0.151, 0.000, 0.490), Pb at (0.000, 0.500, 0.500), Pb at (0.113, 0.500, 0.277) and Pb at (0.210, 0.000, 0.065).

(2)
Entry from Alexandria via LeMat-Bulk: an optimized crystal structure of LiSm2Pb9 (GGA-PBE).

The formation energy is -0.272 eV/atom. Its magnetization is 0.0 μB per formula unit. Its crystal system is tetragonal. The calculation puts the calculated volume at 349 Å³/f.u.

The space group is P4/mmm (No. 123) and the conventional cell measures 4.851, 4.851 and 14.853 Å, with angles of 90.00, 90.00 and 90.00 degrees. The distinct sites, in fractional coordinates, are Li at (0.000, 0.000, 0.000), Sm at (0.000, 0.000, 0.336), Pb at (0.000, 0.500, 0.160), Pb at (0.000, 0.500, 0.500), Pb at (0.500, 0.500, 0.000) and Pb at (0.500, 0.500, 0.328).

Q: Which formula does entry 1 have?
A: Li2Sm5Pb5